(1)
CsMg2Ni | PBE | relaxed

Properties
- Energy relative to the elements: 0.7382 eV per atom
- Final energy: -6.87 eV/cell

Cell lengths 5.4019, 5.4019, 5.4019 Å; angles 60.00, 60.00, 60.00 degrees
Fractional positions:
Mg 0.2500 0.2500 0.2500
Mg 0.7500 0.7500 0.7500
Cs 0.5000 0.5000 0.5000
Ni 0.0000 0.0000 0.0000

(2)
CsMg3Ni | PBE | relaxed

Properties
- Energy relative to the elements: 0.1966 eV per atom
- Final energy: -10.44 eV/cell

Cell lengths 5.2083, 5.2083, 5.2083 Å; angles 90.00, 90.00, 90.00 degrees
Fractional positions:
Ni 0.0000 0.0000 0.0000
Mg 0.0000 0.5000 0.0000
Mg 0.0000 0.0000 0.5000
Mg 0.5000 0.0000 0.0000
Cs 0.5000 0.5000 0.5000

(3)
CsMgNiP2 | PBE | relaxed

Properties
- Energy relative to the elements: 0.5103 eV per atom
- Final energy: -16.50 eV/cell

Cell lengths 4.6059, 5.4928, 4.6059 Å; angles 90.00, 90.00, 90.00 degrees
Fractional positions:
P 0.5000 0.0000 0.0000
P 0.0000 0.0000 0.5000
Ni 0.0000 0.0000 0.0000
Mg 0.5000 0.5000 0.5000
Cs 0.0000 0.5000 0.0000

(4)
CsMgTl2Ni | PBE | relaxed

Properties
- Energy relative to the elements: 0.0670 eV per atom
- Final energy: -12.63 eV/cell

Cell lengths 5.2964, 5.2964, 5.2678 Å; angles 90.00, 90.00, 90.00 degrees
Fractional positions:
Tl 0.5000 0.0000 0.0000
Tl 0.0000 0.5000 0.0000
Ni 0.0000 0.0000 0.0000
Mg 0.0000 0.0000 0.5000
Cs 0.5000 0.5000 0.5000

(5)
Cs3MgNp2S6 | PBE | relaxed

Properties
- Final energy: -70.64 eV/cell

Cell lengths 7.0619, 7.0619, 8.3592 Å; angles 98.07, 98.07, 120.02 degrees
Fractional positions:
S 0.3925 0.0592 0.1780
S 0.9408 0.6075 0.8220
S 0.6075 0.9408 0.8220
S 0.0592 0.3925 0.1780
S 0.7262 0.7262 0.1768
S 0.2738 0.2738 0.8232
Mg 0.0000 0.0000 0.0000
Np 0.6668 0.3332 0.0000
Np 0.3332 0.6668 0.0000
Cs 0.8356 0.1644 0.5000
Cs 0.5000 0.5000 0.5000
Cs 0.1644 0.8356 0.5000

(6)
CsMgNpS3 | PBE | relaxed

Properties
- Final energy: -71.74 eV/cell

Cell lengths 4.1737, 9.3701, 10.1370 Å; angles 110.01, 90.00, 90.00 degrees
Fractional positions:
Mg 0.2500 0.0866 0.6110
Mg 0.7500 0.9134 0.3890
Cs 0.7500 0.7865 0.7655
Cs 0.2500 0.2135 0.2345
S 0.2500 0.5241 0.8548
S 0.2500 0.1320 0.8598
S 0.2500 0.8141 0.4541
S 0.7500 0.8680 0.1402
S 0.7500 0.1859 0.5459
S 0.7500 0.4759 0.1452
Np 0.7500 0.3341 0.8627
Np 0.2500 0.6659 0.1373

(7)
CsMgNpSe4 | PBE | relaxed

Properties
- Final energy: -73.19 eV/cell

Cell lengths 7.0363, 7.1941, 10.9929 Å; angles 90.00, 123.32, 90.00 degrees
Fractional positions:
Se 0.6292 0.2500 0.8080
Se 0.4238 0.2500 0.4014
Se 0.0857 0.9966 0.6866
Se 0.3708 0.7500 0.1920
Se 0.0857 0.5034 0.6866
Se 0.5762 0.7500 0.5986
Se 0.9143 0.4966 0.3134
Se 0.9143 0.0034 0.3134
Mg 0.2090 0.7500 0.3494
Mg 0.7910 0.2500 0.6506
Cs 0.3554 0.2500 0.0593
Cs 0.6446 0.7500 0.9407
Np 0.7883 0.7500 0.4556
Np 0.2117 0.2500 0.5444

(8)
Cs2MgNp2Se6 | PBE | relaxed

Properties
- Final energy: -63.35 eV/cell

Cell lengths 7.1531, 7.1531, 8.8751 Å; angles 97.56, 97.56, 119.99 degrees
Fractional positions:
Mg 0.0000 0.0000 0.5000
Np 0.3334 0.6666 0.5000
Np 0.6666 0.3334 0.5000
Se 0.2748 0.2748 0.3223
Se 0.6073 0.9414 0.3215
Se 0.0586 0.3927 0.6785
Se 0.7252 0.7252 0.6777
Se 0.3927 0.0586 0.6785
Se 0.9414 0.6073 0.3215
Cs 0.1649 0.8351 0.0000
Cs 0.8351 0.1649 0.0000

(9)
Cs3Mg2NpTe6 | PBE | relaxed

Properties
- Final energy: -47.51 eV/cell

Cell lengths 7.7647, 7.7647, 9.2041 Å; angles 98.06, 98.06, 120.04 degrees
Fractional positions:
Te 0.6073 0.9395 0.8189
Te 0.0605 0.3927 0.1811
Te 0.2710 0.2710 0.8176
Te 0.7290 0.7290 0.1824
Te 0.3927 0.0605 0.1811
Te 0.9395 0.6073 0.8189
Mg 0.6661 0.3339 0.0000
Mg 0.3339 0.6661 0.0000
Cs 0.8315 0.1685 0.5000
Cs 0.5000 0.5000 0.5000
Cs 0.1685 0.8315 0.5000
Np 0.0000 0.0000 0.0000

(10)
Cs2Mg2NpTe4 | PBE | relaxed

Properties
- Final energy: -38.18 eV/cell

Cell lengths 4.6246, 9.1059, 8.8766 Å; angles 106.47, 105.10, 90.00 degrees
Fractional positions:
Np 0.0000 0.0000 0.0000
Te 0.5157 0.7674 0.0314
Te 0.2027 0.1708 0.4053
Te 0.7973 0.8292 0.5947
Te 0.4843 0.2326 0.9686
Mg 0.6695 0.9801 0.3389
Mg 0.3305 0.0199 0.6611
Cs 0.1274 0.5481 0.2547
Cs 0.8726 0.4519 0.7453

(11)
CsMgO | PBE | relaxed

Properties
- Final energy: -23.55 eV/cell

Cell lengths 4.0379, 4.0380, 12.2234 Å; angles 90.00, 90.28, 90.00 degrees
Fractional positions:
O 0.7505 0.2500 0.5342
O 0.2495 0.7500 0.4658
Mg 0.2500 0.2500 0.5000
Mg 0.7500 0.7500 0.5000
Cs 0.7543 0.2500 0.8081
Cs 0.2457 0.7500 0.1919

(12)
CsMgO2 | PBE | relaxed

Properties
- Final energy: -37.05 eV/cell

Cell lengths 5.5234, 5.5234, 6.7539 Å; angles 65.86, 65.86, 90.00 degrees
Fractional positions:
Cs 0.0000 0.0000 0.0000
Cs 0.7500 0.2500 0.5000
Mg 0.5000 0.5000 0.0000
Mg 0.2500 0.7500 0.5000
O 0.3743 0.1250 0.2500
O 0.8750 0.6243 0.7500
O 0.3750 0.6257 0.7500
O 0.3757 0.6250 0.2500